#w
# Ce2FeC (PBE, relaxed)
data_Ce2FeC
_chemical_formula_sum 'Ce2 Fe1 C1'
_cell_length_a 3.392
_cell_length_b 3.392
_cell_length_c 7.959
_cell_angle_alpha 77.70
_cell_angle_beta 77.70
_cell_angle_gamma 60.00
_space_group_name_H-M_alt 'P 1'
_space_group_IT_number 1
loop_
_space_group_symop_operation_xyz
'x,y,z'
loop_
_atom_site_label
_atom_site_fract_x
_atom_site_fract_y
_atom_site_fract_z
C1 0.500 0.500 0.500
Ce1 0.898 0.898 0.305
Fe1 0.000 0.000 0.000
Ce2 0.102 0.102 0.695
# DOS(E_F) ... 4.7 states/eV/f.u.
# Space-group type ... R-3m (166)

***

#x
# Ce2FeC (PBE, relaxed)
data_Ce2FeC
_chemical_formula_sum 'Ce4 Fe2 C2'
_cell_length_a 3.668
_cell_length_b 7.458
_cell_length_c 6.484
_cell_angle_alpha 106.73
_cell_angle_beta 106.44
_cell_angle_gamma 90.00
_space_group_name_H-M_alt 'P 1'
_space_group_IT_number 1
loop_
_space_group_symop_operation_xyz
'x,y,z'
loop_
_atom_site_label
_atom_site_fract_x
_atom_site_fract_y
_atom_site_fract_z
Ce1 0.860 0.430 0.721
Ce2 0.140 0.570 0.279
Ce3 0.140 0.070 0.279
Fe1 0.499 0.250 0.000
Fe2 0.501 0.750 0.000
C1 0.001 0.750 0.000
C2 0.999 0.250 0.000
Ce4 0.860 0.930 0.721
# DOS(E_F) ... 6.3 states/eV/f.u.
# Space-group type ... C2/c (15)

***

Which structure is most stable? #x, by 334 meV per atom over the runner-up.

***

#w
# Ce4GaC2 (PBE, relaxed)
data_Ce4GaC2
_chemical_formula_sum 'Ce8 Ga2 C4'
_cell_length_a 3.703
_cell_length_b 6.455
_cell_length_c 13.220
_cell_angle_alpha 90.00
_cell_angle_beta 90.00
_cell_angle_gamma 106.67
_space_group_name_H-M_alt 'P 1'
_space_group_IT_number 1
loop_
_space_group_symop_operation_xyz
'x,y,z'
loop_
_atom_site_label
_atom_site_fract_x
_atom_site_fract_y
_atom_site_fract_z
C1 0.866 0.731 0.565
Ce1 0.916 0.832 0.750
Ce2 0.768 0.537 0.103
Ce3 0.084 0.168 0.250
Ce4 0.232 0.463 0.603
Ga1 0.608 0.217 0.750
C2 0.866 0.731 0.935
Ce5 0.500 0.000 0.000
C3 0.134 0.269 0.435
Ce6 0.768 0.537 0.397
C4 0.134 0.269 0.065
Ce7 0.232 0.463 0.897
Ce8 0.500 0.000 0.500
Ga2 0.392 0.783 0.250
# DOS(E_F) ... 12.2 states/eV/f.u.
# Space-group type ... Cmcm (63)

***

#x
# Ce4GaC2 (PBE, relaxed)
data_Ce4GaC2
_chemical_formula_sum 'Ce8 Ga2 C4'
_cell_length_a 7.388
_cell_length_b 7.388
_cell_length_c 7.447
_cell_angle_alpha 110.02
_cell_angle_beta 110.01
_cell_angle_gamma 108.07
_space_group_name_H-M_alt 'P 1'
_space_group_IT_number 1
loop_
_space_group_symop_operation_xyz
'x,y,z'
loop_
_atom_site_label
_atom_site_fract_x
_atom_site_fract_y
_atom_site_fract_z
Ce1 0.824 0.661 0.160
Ce2 0.426 0.089 0.340
Ga1 0.000 0.000 0.000
Ce3 0.501 0.664 0.840
Ce4 0.914 0.251 0.340
C1 0.625 0.375 0.250
C2 0.625 0.875 0.250
Ga2 0.250 0.750 0.500
Ce5 0.339 0.176 0.840
Ce6 0.911 0.574 0.660
Ce7 0.336 0.499 0.160
Ce8 0.749 0.086 0.660
C3 0.125 0.375 0.750
C4 0.625 0.375 0.750
# DOS(E_F) ... 8.6 states/eV/f.u.
# Space-group type ... Fddd (70)

***

Which structure is most stable? #w, by 41 meV per atom over the runner-up.

***

#w
# Ce6Ge2C (PBE, relaxed)
data_Ce6Ge2C
_chemical_formula_sum 'Ce6 Ge2 C1'
_cell_length_a 3.817
_cell_length_b 8.114
_cell_length_c 7.896
_cell_angle_alpha 120.92
_cell_angle_beta 90.00
_cell_angle_gamma 90.00
_space_group_name_H-M_alt 'P 1'
_space_group_IT_number 1
loop_
_space_group_symop_operation_xyz
'x,y,z'
loop_
_atom_site_label
_atom_site_fract_x
_atom_site_fract_y
_atom_site_fract_z
Ce1 0.000 0.975 0.199
Ce2 0.000 0.273 0.000
Ce3 0.500 0.390 0.387
Ce4 0.000 0.776 0.801
Ge1 0.000 0.316 0.638
Ce5 0.500 0.535 0.000
C1 0.500 0.053 0.000
Ge2 0.000 0.678 0.362
Ce6 0.500 0.004 0.613
# DOS(E_F) ... 21.9 states/eV/f.u.
# Space-group type ... Amm2 (38)

***

#x
# Ce6Ge2C (PBE, relaxed)
data_Ce6Ge2C
_chemical_formula_sum 'Ce12 Ge4 C2'
_cell_length_a 6.418
_cell_length_b 6.418
_cell_length_c 10.018
_cell_angle_alpha 90.00
_cell_angle_beta 89.97
_cell_angle_gamma 90.00
_space_group_name_H-M_alt 'P 1'
_space_group_IT_number 1
loop_
_space_group_symop_operation_xyz
'x,y,z'
loop_
_atom_site_label
_atom_site_fract_x
_atom_site_fract_y
_atom_site_fract_z
Ce1 0.272 0.728 0.500
Ce2 0.228 0.772 0.000
Ce3 0.500 0.500 0.762
Ce4 0.000 0.000 0.738
Ce5 0.728 0.272 0.500
Ge1 0.000 0.500 0.750
C1 0.500 0.500 0.000
Ce6 0.000 0.000 0.262
Ge2 0.000 0.500 0.250
Ce7 0.772 0.228 0.000
Ge3 0.500 0.000 0.250
Ce8 0.272 0.272 0.500
Ce9 0.500 0.500 0.238
Ce10 0.228 0.228 0.000
Ce11 0.772 0.772 0.000
Ce12 0.728 0.728 0.500
Ge4 0.500 0.000 0.750
C2 0.000 0.000 0.500
# DOS(E_F) ... 20.6 states/eV/f.u.
# Space-group type ... I4/mmm (139)

***

Which structure is most stable? #x, by 60 meV per atom over the runner-up.

***

#w
# Ce4GeC (PBE, relaxed)
data_Ce4GeC
_chemical_formula_sum 'Ce8 Ge2 C2'
_cell_length_a 5.541
_cell_length_b 7.070
_cell_length_c 7.669
_cell_angle_alpha 106.11
_cell_angle_beta 111.17
_cell_angle_gamma 90.00
_space_group_name_H-M_alt 'P 1'
_space_group_IT_number 1
loop_
_space_group_symop_operation_xyz
'x,y,z'
loop_
_atom_site_label
_atom_site_fract_x
_atom_site_fract_y
_atom_site_fract_z
Ce1 0.509 0.976 0.178
Ce2 0.669 0.476 0.178
C1 0.500 0.000 0.500
C2 0.000 0.500 0.500
Ce3 0.077 0.137 0.357
Ce4 0.720 0.363 0.643
Ce5 0.491 0.024 0.822
Ge1 0.093 0.250 0.000
Ce6 0.923 0.863 0.643
Ce7 0.280 0.637 0.357
Ge2 0.907 0.750 0.000
Ce8 0.331 0.524 0.822
# DOS(E_F) ... 13.6 states/eV/f.u.
# Space-group type ... C2/c (15)

***

#x
# Ce4GeC (PBE, relaxed)
data_Ce4GeC
_chemical_formula_sum 'Ce8 Ge2 C2'
_cell_length_a 6.401
_cell_length_b 7.709
_cell_length_c 7.004
_cell_angle_alpha 56.61
_cell_angle_beta 80.93
_cell_angle_gamma 73.36
_space_group_name_H-M_alt 'P 1'
_space_group_IT_number 1
loop_
_space_group_symop_operation_xyz
'x,y,z'
loop_
_atom_site_label
_atom_site_fract_x
_atom_site_fract_y
_atom_site_fract_z
C1 0.250 0.994 0.012
Ce1 0.918 0.346 0.841
Ce2 0.046 0.072 0.681
Ge1 0.250 0.623 0.753
Ce3 0.582 0.813 0.841
Ce4 0.954 0.928 0.319
Ce5 0.546 0.753 0.319
Ce6 0.454 0.247 0.681
C2 0.750 0.006 0.988
Ce7 0.418 0.187 0.159
Ce8 0.082 0.654 0.159
Ge2 0.750 0.377 0.247
# DOS(E_F) ... 13.5 states/eV/f.u.
# Space-group type ... C2/c (15)

***

Which structure is most stable? #w, by 54 meV per atom over the runner-up.